Here is a geometry-optimized UIr2 structure from Alexandria via LeMat-Bulk. Energies are from PBE.

Formation energy from the elements: -0.28 eV/atom

Cell and atoms, written as CIF:
```
data_UIr2
_chemical_formula_sum 'U2 Ir4'
_symmetry_space_group_name_H-M 'I 4/m m m'
_symmetry_Int_Tables_number 139
_symmetry_space_group_name_Hall '-I 4 2'
_cell_length_a 3.5241
_cell_length_b 3.5241
_cell_length_c 8.7580
_cell_angle_alpha 90.00
_cell_angle_beta 90.00
_cell_angle_gamma 90.00
loop_
_atom_site_label
_atom_site_type_symbol
_atom_site_fract_x
_atom_site_fract_y
_atom_site_fract_z
U1 U 0.0000 0.0000 0.0000
Ir1 Ir 0.0000 0.0000 0.3388
```


Here is a geometry-optimized LiTcBr3 structure from Alexandria via LeMat-Bulk. Energies are from PBE.

Energy relative to the lowest polymorph listed for this composition: 0.0 meV/atom
Energy relative to the elements, uncorrected: -253 meV/atom

Cell and atoms, written as CIF:
```
data_LiTcBr3
_chemical_formula_sum 'Li1 Tc1 Br3'
_symmetry_space_group_name_H-M 'P m -3 m'
_symmetry_Int_Tables_number 221
_symmetry_space_group_name_Hall '-P 4 2 3'
_cell_length_a 5.2384
_cell_length_b 5.2384
_cell_length_c 5.2384
_cell_angle_alpha 90.00
_cell_angle_beta 90.00
_cell_angle_gamma 90.00
loop_
_atom_site_label
_atom_site_type_symbol
_atom_site_fract_x
_atom_site_fract_y
_atom_site_fract_z
Li1 Li 0.0000 0.0000 0.0000
Tc1 Tc 0.5000 0.5000 0.5000
Br1 Br 0.0000 0.5000 0.5000
```


Here is a geometry-optimized PrIn2Cu9 structure from Alexandria via LeMat-Bulk. Energies are from PBE.

Formation energy from the elements: -0.13 eV/atom
Energy relative to the lowest polymorph listed for this composition: 0.0 meV/atom

Cell and atoms, written as CIF:
```
data_PrIn2Cu9
_chemical_formula_sum 'Pr2 In4 Cu18'
_symmetry_space_group_name_H-M 'P 4/m b m'
_symmetry_Int_Tables_number 127
_symmetry_space_group_name_Hall '-P 4 2ab'
_cell_length_a 8.5461
_cell_length_b 8.5461
_cell_length_c 5.0261
_cell_angle_alpha 90.00
_cell_angle_beta 90.00
_cell_angle_gamma 90.00
loop_
_atom_site_label
_atom_site_type_symbol
_atom_site_fract_x
_atom_site_fract_y
_atom_site_fract_z
Pr1 Pr 0.0000 0.0000 0.0000
In1 In 0.1235 0.3765 0.0000
Cu1 Cu 0.0000 0.5000 0.5000
Cu2 Cu 0.0641 0.2067 0.5000
Cu3 Cu 0.1763 0.6763 0.2480
```


Here is a geometry-optimized Ta3ReF structure from Alexandria via LeMat-Bulk. Energies are from PBE.

Energy relative to the lowest polymorph listed for this composition: 0.0 meV/atom
Energy relative to the elements, uncorrected: 262 meV/atom

Cell and atoms, written as CIF:
```
data_Ta3ReF
_chemical_formula_sum 'Ta3 Re1 F1'
_symmetry_space_group_name_H-M 'P m -3 m'
_symmetry_Int_Tables_number 221
_symmetry_space_group_name_Hall '-P 4 2 3'
_cell_length_a 4.2862
_cell_length_b 4.2862
_cell_length_c 4.2862
_cell_angle_alpha 90.00
_cell_angle_beta 90.00
_cell_angle_gamma 90.00
loop_
_atom_site_label
_atom_site_type_symbol
_atom_site_fract_x
_atom_site_fract_y
_atom_site_fract_z
Ta1 Ta 0.0000 0.0000 0.5000
Re1 Re 0.5000 0.5000 0.5000
F1 F 0.0000 0.0000 0.0000
```


Here is a geometry-optimized Pr6Y8Ho structure from Alexandria via LeMat-Bulk. Energies are from PBE.

Formation energy from the elements: 0.11 eV/atom

Cell and atoms, written as CIF:
```
data_Pr6Y8Ho
_chemical_formula_sum 'Pr18 Y24 Ho3'
_symmetry_space_group_name_H-M 'R -3'
_symmetry_Int_Tables_number 148
_symmetry_space_group_name_Hall '-R 3'
_cell_length_a 9.1755
_cell_length_b 9.1755
_cell_length_c 21.1585
_cell_angle_alpha 90.00
_cell_angle_beta 90.00
_cell_angle_gamma 120.00
loop_
_atom_site_label
_atom_site_type_symbol
_atom_site_fract_x
_atom_site_fract_y
_atom_site_fract_z
Pr1 Pr 0.0597 0.8105 0.2108
Y1 Y 0.0000 0.0000 0.0773
Y2 Y 0.0811 0.5205 0.3067
Ho1 Ho 0.0000 0.0000 0.5000
```


Here is a geometry-optimized LaYSe structure from Alexandria via LeMat-Bulk. Energies are from PBE.

Energy relative to the lowest polymorph listed for this composition: 306.0 meV/atom
Energy relative to the elements, uncorrected: -835 meV/atom

Cell and atoms, written as CIF:
```
data_LaYSe
_chemical_formula_sum 'La4 Y4 Se4'
_symmetry_space_group_name_H-M 'F -4 3 m'
_symmetry_Int_Tables_number 216
_symmetry_space_group_name_Hall 'F -4 2 3'
_cell_length_a 7.0552
_cell_length_b 7.0552
_cell_length_c 7.0552
_cell_angle_alpha 90.00
_cell_angle_beta 90.00
_cell_angle_gamma 90.00
loop_
_atom_site_label
_atom_site_type_symbol
_atom_site_fract_x
_atom_site_fract_y
_atom_site_fract_z
La1 La 0.0000 0.0000 0.0000
Y1 Y 0.0000 0.0000 0.5000
Se1 Se 0.2500 0.2500 0.7500
```


Here is a geometry-optimized Te2IrRh structure from Alexandria via LeMat-Bulk. Energies are from PBE.

Energy relative to the lowest polymorph listed for this composition: 323.6 meV/atom
Energy relative to the elements, uncorrected: 244 meV/atom

Cell and atoms, written as CIF:
```
data_Te2IrRh
_chemical_formula_sum 'Te8 Ir4 Rh4'
_symmetry_space_group_name_H-M 'F m -3 m'
_symmetry_Int_Tables_number 225
_symmetry_space_group_name_Hall '-F 4 2 3'
_cell_length_a 6.7190
_cell_length_b 6.7190
_cell_length_c 6.7190
_cell_angle_alpha 90.00
_cell_angle_beta 90.00
_cell_angle_gamma 90.00
loop_
_atom_site_label
_atom_site_type_symbol
_atom_site_fract_x
_atom_site_fract_y
_atom_site_fract_z
Te1 Te 0.2500 0.2500 0.2500
Ir1 Ir 0.0000 0.0000 0.0000
Rh1 Rh 0.0000 0.0000 0.5000
```


Here is a geometry-optimized Sb2MoPb structure from Alexandria via LeMat-Bulk. Energies are from PBE.

Energy relative to the elements, uncorrected: 184 meV/atom

Cell and atoms, written as CIF:
```
data_Sb2MoPb
_chemical_formula_sum 'Sb4 Mo2 Pb2'
_symmetry_space_group_name_H-M 'C 1 m 1'
_symmetry_Int_Tables_number 8
_symmetry_space_group_name_Hall 'C -2y'
_cell_length_a 9.5814
_cell_length_b 3.4759
_cell_length_c 6.8598
_cell_angle_alpha 90.00
_cell_angle_beta 109.16
_cell_angle_gamma 90.00
loop_
_atom_site_label
_atom_site_type_symbol
_atom_site_fract_x
_atom_site_fract_y
_atom_site_fract_z
Sb1 Sb 0.0000 0.0000 0.0000
Sb2 Sb 0.1609 0.0000 0.6508
Mo1 Mo 0.4516 0.0000 0.6818
Pb1 Pb 0.3193 0.5000 0.3057
```


Number 1: total energy -9.9477 eV per atom, total moment 0.00 μB/f.u.. Number 2: total energy -3.7130 eV per atom, total moment 3.11 μB/f.u.. Number 3: total energy -4.0612 eV per atom, total moment 0.00 μB/f.u.. Number 4: total energy -9.7136 eV per atom, total moment 0.00 μB/f.u.. Number 5: total energy -5.5506 eV per atom, total moment 0.00 μB/f.u.. Number 6: total energy -5.7937 eV per atom, total moment 1.12 μB/f.u.. Number 7: total energy -5.3797 eV per atom, total moment 0.00 μB/f.u.. Number 8: total energy -5.5124 eV per atom, total moment 0.00 μB/f.u..